[1]
Below is a geometry-optimized Ac2Cd7Ga structure, with properties calculated at the PBE level.

Properties
* ΔH_f (0 K): -2.69 eV per formula unit
* final energy: -2.033 eV/atom

abc: 4.710 4.710 12.035
angles: 90.00 90.00 90.00
Positions (direct):
Ac: 0.000 0.500 0.241
Ac: 0.500 0.000 0.759
Cd: 0.000 0.000 0.000
Cd: 0.000 0.000 0.500
Cd: 0.000 0.500 0.640
Cd: 0.000 0.500 0.871
Cd: 0.500 0.000 0.129
Cd: 0.500 0.000 0.360
Cd: 0.500 0.500 0.500
Ga: 0.500 0.500 0.000

***

[2]
Below is a geometry-optimized Ac2CdGa10 structure, with properties calculated at the PBE level.

Properties
* ΔH_f (0 K): -2.00 eV per formula unit
* final energy: -3.185 eV/atom

abc: 6.651 18.068 5.455
angles: 90.00 90.00 90.00
Positions (direct):
Ac: 0.187 0.090 0.000
Ac: 0.313 0.590 0.000
Ac: 0.687 0.410 0.000
Ac: 0.813 0.910 0.000
Cd: 0.000 0.500 0.500
Cd: 0.500 0.000 0.500
Ga: 0.019 0.813 0.500
Ga: 0.125 0.677 0.500
Ga: 0.129 0.956 0.500
Ga: 0.174 0.363 0.225
Ga: 0.174 0.363 0.775
Ga: 0.326 0.863 0.225
Ga: 0.326 0.863 0.775
Ga: 0.371 0.456 0.500
Ga: 0.375 0.177 0.500
Ga: 0.481 0.313 0.500
Ga: 0.519 0.687 0.500
Ga: 0.625 0.823 0.500
Ga: 0.629 0.544 0.500
Ga: 0.674 0.137 0.225
Ga: 0.674 0.137 0.775
Ga: 0.826 0.637 0.225
Ga: 0.826 0.637 0.775
Ga: 0.871 0.044 0.500
Ga: 0.875 0.323 0.500
Ga: 0.981 0.187 0.500

***

[3]
Below is a geometry-optimized Ac2CdGa structure, with properties calculated at the PBE level.

Properties
* ΔH_f (0 K): -1.42 eV per formula unit
* final energy: -3.395 eV/atom

abc: 8.006 8.006 8.006
angles: 90.00 90.00 90.00
Positions (direct):
Ac: 0.250 0.250 0.250
Ac: 0.250 0.250 0.750
Ac: 0.250 0.750 0.250
Ac: 0.250 0.750 0.750
Ac: 0.750 0.250 0.250
Ac: 0.750 0.250 0.750
Ac: 0.750 0.750 0.250
Ac: 0.750 0.750 0.750
Cd: 0.000 0.000 0.000
Cd: 0.000 0.500 0.500
Cd: 0.500 0.000 0.500
Cd: 0.500 0.500 0.000
Ga: 0.000 0.000 0.500
Ga: 0.000 0.500 0.000
Ga: 0.500 0.000 0.000
Ga: 0.500 0.500 0.500

***

[4]
Below is a geometry-optimized Ac3CdGa structure, with properties calculated at the PBE level.

Properties
* energy above the lowest structure with this stoichiometry: 0.000 eV per atom
* ΔH_f (0 K): -1.37 eV per formula unit
* final energy: -3.528 eV/atom

abc: 11.027 11.027 5.710
angles: 90.00 90.00 150.01
Positions (direct):
Ac: 0.066 0.934 0.750
Ac: 0.249 0.751 0.750
Ac: 0.432 0.568 0.750
Ac: 0.568 0.432 0.250
Ac: 0.751 0.249 0.250
Ac: 0.934 0.066 0.250
Cd: 0.344 0.656 0.250
Cd: 0.656 0.344 0.750
Ga: 0.155 0.845 0.250
Ga: 0.845 0.155 0.750

***

[5]
Below is a geometry-optimized Ac2Cd2Ga3 structure, with properties calculated at the PBE level.

Properties
* ΔH_f (0 K): -2.77 eV per formula unit
* final energy: -3.128 eV/atom

abc: 11.604 4.785 7.081
angles: 90.00 111.94 90.00
Positions (direct):
Ac: 0.150 0.000 0.269
Ac: 0.350 0.500 0.731
Ac: 0.650 0.500 0.269
Ac: 0.850 0.000 0.731
Cd: 0.153 0.000 0.768
Cd: 0.347 0.500 0.232
Cd: 0.653 0.500 0.768
Cd: 0.847 0.000 0.232
Ga: 0.000 0.500 0.500
Ga: 0.083 0.500 0.913
Ga: 0.417 0.000 0.087
Ga: 0.500 0.000 0.500
Ga: 0.583 0.000 0.913
Ga: 0.917 0.500 0.087

***

[6]
Below is a geometry-optimized AcCdGa4 structure, with properties calculated at the PBE level.

Properties
* energy above the lowest structure with this stoichiometry: 0.000 eV per atom
* ΔH_f (0 K): -1.73 eV per formula unit
* final energy: -3.143 eV/atom

abc: 8.217 15.869 4.279
angles: 90.00 90.00 90.00
Positions (direct):
Ac: 0.129 0.150 0.000
Ac: 0.371 0.650 0.000
Ac: 0.629 0.350 0.000
Ac: 0.871 0.850 0.000
Cd: 0.140 0.409 0.000
Cd: 0.360 0.909 0.000
Cd: 0.640 0.091 0.000
Cd: 0.860 0.591 0.000
Ga: 0.019 0.695 0.500
Ga: 0.117 0.549 0.500
Ga: 0.131 0.965 0.500
Ga: 0.211 0.811 0.500
Ga: 0.289 0.311 0.500
Ga: 0.369 0.465 0.500
Ga: 0.383 0.049 0.500
Ga: 0.481 0.195 0.500
Ga: 0.519 0.805 0.500
Ga: 0.617 0.951 0.500
Ga: 0.631 0.535 0.500
Ga: 0.711 0.689 0.500
Ga: 0.789 0.189 0.500
Ga: 0.869 0.035 0.500
Ga: 0.883 0.451 0.500
Ga: 0.981 0.305 0.500

***

[7]
Below is a geometry-optimized AcCd10Ga2 structure, with properties calculated at the PBE level.

Properties
* ΔH_f (0 K): -1.53 eV per formula unit
* final energy: -1.603 eV/atom

abc: 9.863 7.725 7.554
angles: 80.40 50.56 49.04
Positions (direct):
Ac: 0.000 0.000 0.000
Cd: 0.000 0.500 0.000
Cd: 0.005 0.648 0.352
Cd: 0.284 0.504 0.496
Cd: 0.352 0.995 0.005
Cd: 0.496 0.716 0.284
Cd: 0.500 0.000 0.500
Cd: 0.504 0.284 0.716
Cd: 0.648 0.005 0.995
Cd: 0.716 0.496 0.504
Cd: 0.995 0.352 0.648
Ga: 0.000 0.000 0.500
Ga: 0.500 0.500 0.000

***

[8]
Below is a geometry-optimized Ac2Cd2Ga structure, with properties calculated at the PBE level.

Properties
* energy above the lowest structure with this stoichiometry: 0.000 eV per atom
* ΔH_f (0 K): -1.80 eV per formula unit
* final energy: -2.975 eV/atom

abc: 6.356 6.356 12.011
angles: 115.53 115.53 45.46
Positions (direct):
Ac: 0.021 0.021 0.340
Ac: 0.195 0.195 0.111
Ac: 0.805 0.805 0.889
Ac: 0.979 0.979 0.660
Cd: 0.353 0.353 0.441
Cd: 0.486 0.486 0.117
Cd: 0.514 0.514 0.883
Cd: 0.647 0.647 0.559
Ga: 0.276 0.276 0.658
Ga: 0.724 0.724 0.342

***

> Which of these has the lowest final energy?

Ac3CdGa

***

> Which of these has the highest ΔH_f (0 K)?

Ac3CdGa

***

What did the third record say?
Below is a geometry-optimized Ac2CdGa structure, with properties calculated at the PBE level.

Properties
* ΔH_f (0 K): -1.42 eV per formula unit
* final energy: -3.395 eV/atom

abc: 8.006 8.006 8.006
angles: 90.00 90.00 90.00
Positions (direct):
Ac: 0.250 0.250 0.250
Ac: 0.250 0.250 0.750
Ac: 0.250 0.750 0.250
Ac: 0.250 0.750 0.750
Ac: 0.750 0.250 0.250
Ac: 0.750 0.250 0.750
Ac: 0.750 0.750 0.250
Ac: 0.750 0.750 0.750
Cd: 0.000 0.000 0.000
Cd: 0.000 0.500 0.500
Cd: 0.500 0.000 0.500
Cd: 0.500 0.500 0.000
Ga: 0.000 0.000 0.500
Ga: 0.000 0.500 0.000
Ga: 0.500 0.000 0.000
Ga: 0.500 0.500 0.500